No. 1
Computed, not measured: crystalline LaZr2CdN at its relaxed geometry at the GGA-PBE level of DFT.

uncorrected formation energy: -0.643 eV/atom
symmetry: P4/mmm (123)
total magnetic moment: 0.0 μB per formula unit
VASP energy: -34.48 eV for the cell shown
DOS at the Fermi energy: 0.728 states/eV per atom

Structure (extended XYZ):
```
5
Lattice="-0.332 -4.357 1.358 1.098 -1.397 -4.217 4.922 0.022 1.274" Properties=species:S:1:pos:R:3 pbc="T T T"
N 0.000 0.000 0.000
Cd 2.844 -2.866 -0.792
Zr 0.549 -0.699 -2.108
Zr -0.166 -2.179 0.679
La 2.461 0.011 0.637
```

No. 2
Computed, not measured: crystalline Ba2Cd2Rh3 at its relaxed geometry at the GGA-PBE level of DFT.

symmetry: C2/m (12)
total magnetic moment: 0.0 μB per formula unit
ΔE_f: -0.15 eV/atom
VASP energy: -28.78 eV for the cell shown
DOS at the Fermi energy: 0.892 states/eV per atom

Structure (extended XYZ):
```
7
Lattice="-1.398 3.993 2.205 -4.225 -4.663 0.602 6.158 0.006 3.894" Properties=species:S:1:pos:R:3 pbc="T T T"
Ba -2.526 0.261 3.085
Ba 3.060 -0.926 3.616
Cd 0.196 0.022 5.245
Cd 0.338 -0.686 1.456
Rh -0.699 1.996 1.103
Rh 1.168 1.620 2.969
Rh -0.634 -2.284 3.733
```

No. 3
Computed, not measured: crystalline Tb8Ge3Te4Rh at its relaxed geometry at the GGA-PBE level of DFT.

uncorrected formation energy: -1.138 eV/atom
symmetry: R-3m (166)
total magnetic moment: 0.0 μB per formula unit
VASP energy: -89.03 eV for the cell shown
DOS at the Fermi energy: 0.309 states/eV per atom

Structure (extended XYZ):
```
16
Lattice="-8.401 -1.023 -0.185 1.052 -8.141 -2.742 3.804 2.489 7.141" Properties=species:S:1:pos:R:3 pbc="T T T"
Tb 2.489 -3.630 4.985
Tb 0.565 -4.889 1.376
Tb 0.086 -1.225 2.890
Tb -1.759 -4.147 4.891
Tb -1.785 -2.528 -0.677
Tb -3.630 -5.450 1.324
Tb -4.110 -1.786 2.838
Tb -6.033 -3.045 -0.770
Ge -3.675 -4.582 -1.463
Ge -1.772 -3.337 2.107
Ge 2.428 -2.826 2.200
Te -4.200 -0.511 -0.092
Te -2.298 0.733 3.478
Te 0.000 0.000 0.000
Te 1.902 1.244 3.571
Rh 0.526 -4.070 -1.371
```

No. 4
Computed, not measured: crystalline Pm2Pd5Au4 at its relaxed geometry at the GGA-PBE level of DFT.

symmetry: Fmmm (69)
total magnetic moment: 0.0 μB per formula unit
ΔE_f: -0.50 eV/atom
VASP energy: -54.06 eV for the cell shown
DOS at the Fermi energy: 0.422 states/eV per atom

Structure (extended XYZ):
```
11
Lattice="5.535 0.000 0.000 2.768 4.582 0.000 2.768 0.000 8.954" Properties=species:S:1:pos:R:3 pbc="T T T"
Pm 5.535 0.000 2.291
Pm 2.768 0.000 6.662
Pd 2.768 0.000 0.000
Pd 1.384 2.291 0.000
Pd 4.152 2.291 0.000
Pd 4.152 2.291 4.477
Pd 6.919 2.291 4.477
Au 5.535 1.478 6.659
Au 5.535 3.104 2.295
Au 2.768 1.478 2.295
Au 8.303 3.104 6.659
```

No. 5
Computed, not measured: crystalline CdFe2Si at its relaxed geometry at the GGA-PBE level of DFT.

uncorrected formation energy: 0.530 eV/atom
symmetry: I-42d (122)
total magnetic moment: 4.5 μB per formula unit
offset from the most stable computed form: 52.2 kJ/mol of atoms
VASP energy: -42.29 eV for the cell shown
DOS at the Fermi energy: 0.858 states/eV per atom

Structure (extended XYZ):
```
8
Lattice="3.875 0.000 0.000 0.000 3.875 0.000 1.937 1.937 8.578" Properties=species:S:1:pos:R:3 pbc="T T T"
Si 1.937 1.937 0.000
Si 1.937 3.875 4.289
Fe 2.605 0.969 2.144
Fe 1.269 2.906 2.144
Fe 2.906 3.206 6.433
Fe 4.843 4.543 6.433
Cd 0.000 0.000 0.000
Cd 3.875 1.937 4.289
```

No. 6
Computed, not measured: crystalline Tb5Pm12Ho at its relaxed geometry at the GGA-PBE level of DFT.

symmetry: C2/m (12)
total magnetic moment: 0.0 μB per formula unit
ΔE_f: 0.11 eV/atom
VASP energy: -82.75 eV for the cell shown
DOS at the Fermi energy: 2.076 states/eV per atom

Structure (extended XYZ):
```
18
Lattice="11.159 0.000 0.005 5.580 9.023 0.002 -0.005 0.000 6.004" Properties=species:S:1:pos:R:3 pbc="T T T"
Tb 5.577 0.000 3.005
Tb 5.577 5.994 3.005
Tb 11.157 3.029 3.007
Tb 11.159 5.983 0.005
Tb 5.580 3.040 0.002
Pm 9.358 0.000 2.949
Pm 1.797 0.000 3.060
Pm 7.370 0.000 5.950
Pm 3.785 0.000 0.059
Pm 7.401 6.044 5.944
Pm 3.754 6.044 0.065
Pm 12.981 2.979 5.946
Pm 9.334 2.979 0.068
Pm 7.401 2.991 3.071
Pm 12.981 6.031 3.073
Pm 3.754 2.991 2.938
Pm 9.333 6.031 2.941
Ho 0.000 0.000 0.000
```

No. 7
Computed, not measured: crystalline AgPdPb2 at its relaxed geometry at the GGA-PBE level of DFT.

symmetry: P4/mmm (123)
total magnetic moment: 0.0 μB per formula unit
offset from the most stable computed form: 2.9 kJ/mol of atoms
ΔE_f: -0.02 eV/atom
VASP energy: -15.54 eV for the cell shown
DOS at the Fermi energy: 0.442 states/eV per atom

Structure (extended XYZ):
```
4
Lattice="3.552 0.000 0.000 0.000 5.046 0.000 0.000 0.000 5.046" Properties=species:S:1:pos:R:3 pbc="T T T"
Pb 0.000 0.000 2.523
Pb 0.000 2.523 0.000
Pd 1.776 2.523 2.523
Ag 1.776 0.000 0.000
```

No. 8
Computed, not measured: crystalline TlVW2 at its relaxed geometry at the GGA-PBE level of DFT.

symmetry: Fm-3m (225)
total magnetic moment: 0.0 μB per formula unit
offset from the most stable computed form: 0.0 kJ/mol of atoms
ΔE_f: 0.87 eV/atom
VASP energy: -33.91 eV for the cell shown
DOS at the Fermi energy: 1.374 states/eV per atom

Structure (extended XYZ):
```
4
Lattice="0.000 3.234 3.234 3.234 0.000 3.234 3.234 3.234 0.000" Properties=species:S:1:pos:R:3 pbc="T T T"
Tl 3.234 3.234 3.234
W 1.617 1.617 1.617
W 4.851 4.851 4.851
V 0.000 0.000 0.000
```